Computed, not measured: a relaxed structure of FeTe at the PBE level of DFT.

The raw total energy comes out at -5.8105 eV/atom. The value obtained for the energy relative to the elements, uncorrected is -8 meV per atom.

It has space group P-3m1 (No. 164), with a = 3.8195 Å, b = 3.8195 Å, c = 7.6181 Å, α = 90.00°, β = 90.00° and γ = 120.00°. The asymmetric unit holds Fe at (0.3333, 0.6667, 0.0816) and Te at (0.3333, 0.6667, 0.7378).